A plane-wave DFT calculation with GGA-PBE was carried out for an optimized crystal structure of TmMgPdRu.

Cell and atoms, written as CIF:
```
data_TmMgPdRu
_cell_length_a 6.5625
_cell_length_b 6.5625
_cell_length_c 6.5625
_cell_angle_alpha 90.00
_cell_angle_beta 90.00
_cell_angle_gamma 90.00
_space_group_name_H-M_alt 'F -4 3 m'
_space_group_IT_number 216
_space_group_name_Hall 'F -4 2 3'
loop_
_atom_site_label
_atom_site_type_symbol
_atom_site_fract_x
_atom_site_fract_y
_atom_site_fract_z
Tm1 Tm 0.0000 0.0000 0.0000
Mg1 Mg 0.0000 0.0000 0.5000
Pd1 Pd 0.2500 0.2500 0.2500
Ru1 Ru 0.2500 0.2500 0.7500
```

**Calculated formation energy**: -502.2 meV per atom

A plane-wave DFT calculation with GGA-PBE was carried out for an optimized crystal structure of Rb4Nd3SnO8.

Cell and atoms, written as CIF:
```
data_Rb4Nd3SnO8
_cell_length_a 7.2666
_cell_length_b 7.2666
_cell_length_c 19.8243
_cell_angle_alpha 90.00
_cell_angle_beta 90.00
_cell_angle_gamma 120.00
_space_group_name_H-M_alt 'R -3 m'
_space_group_IT_number 166
_space_group_name_Hall '-R 3 2"'
loop_
_atom_site_label
_atom_site_type_symbol
_atom_site_fract_x
_atom_site_fract_y
_atom_site_fract_z
Rb1 Rb 0.0000 0.0000 0.0000
Rb2 Rb 0.0000 0.5000 0.0000
Nd1 Nd 0.0000 0.5000 0.5000
Sn1 Sn 0.0000 0.0000 0.5000
O1 O 0.0000 0.0000 0.2269
O2 O 0.0064 0.5032 0.2270
```

**Formation energy without anion corrections**: -2216 meV/atom

A plane-wave DFT calculation with GGA-PBE was carried out for an optimized crystal structure of MoPtSN2.

Cell and atoms, written as CIF:
```
data_MoPtSN2
_cell_length_a 3.6923
_cell_length_b 3.6923
_cell_length_c 8.0738
_cell_angle_alpha 90.00
_cell_angle_beta 90.00
_cell_angle_gamma 90.00
_space_group_name_H-M_alt 'P 4/m m m'
_space_group_IT_number 123
_space_group_name_Hall '-P 4 2'
loop_
_atom_site_label
_atom_site_type_symbol
_atom_site_fract_x
_atom_site_fract_y
_atom_site_fract_z
Mo1 Mo 0.0000 0.0000 0.0000
Pt1 Pt 0.5000 0.5000 0.5000
S1 S 0.5000 0.5000 0.0000
N1 N 0.0000 0.5000 0.5000
```

**Formation energy without anion corrections**: 1351 meV/atom

A plane-wave DFT calculation with GGA-PBE was carried out for an optimized crystal structure of Hg2OsPb.

Cell and atoms, written as CIF:
```
data_Hg2OsPb
_cell_length_a 3.1898
_cell_length_b 3.1898
_cell_length_c 9.0536
_cell_angle_alpha 90.00
_cell_angle_beta 90.00
_cell_angle_gamma 90.00
_space_group_name_H-M_alt 'P 4 m m'
_space_group_IT_number 99
_space_group_name_Hall 'P 4 -2'
loop_
_atom_site_label
_atom_site_type_symbol
_atom_site_fract_x
_atom_site_fract_y
_atom_site_fract_z
Hg1 Hg 0.0000 0.0000 0.0000
Hg2 Hg 0.5000 0.5000 0.2775
Os1 Os 0.0000 0.0000 0.4727
Pb1 Pb 0.5000 0.5000 0.6792
```

**Calculated formation energy**: 642.8 meV per atom

A plane-wave DFT calculation with GGA-PBE was carried out for an optimized crystal structure of SrMoPt2.

Cell and atoms, written as CIF:
```
data_SrMoPt2
_cell_length_a 2.8863
_cell_length_b 4.1147
_cell_length_c 6.8170
_cell_angle_alpha 90.00
_cell_angle_beta 90.00
_cell_angle_gamma 90.00
_space_group_name_H-M_alt 'P m m 2'
_space_group_IT_number 25
_space_group_name_Hall 'P 2 -2'
loop_
_atom_site_label
_atom_site_type_symbol
_atom_site_fract_x
_atom_site_fract_y
_atom_site_fract_z
Sr1 Sr 0.0000 0.0000 0.0000
Mo1 Mo 0.5000 0.5000 0.3545
Pt1 Pt 0.0000 0.0000 0.4971
Pt2 Pt 0.5000 0.5000 0.7347
```

**Calculated formation energy**: 46.9 meV per atom

A plane-wave DFT calculation with GGA-PBE was carried out for an optimized crystal structure of Fe2SiSe.

Cell and atoms, written as CIF:
```
data_Fe2SiSe
_cell_length_a 8.2317
_cell_length_b 2.9762
_cell_length_c 4.1769
_cell_angle_alpha 90.00
_cell_angle_beta 103.85
_cell_angle_gamma 90.00
_space_group_name_H-M_alt 'C 1 m 1'
_space_group_IT_number 8
_space_group_name_Hall 'C -2y'
loop_
_atom_site_label
_atom_site_type_symbol
_atom_site_fract_x
_atom_site_fract_y
_atom_site_fract_z
Fe1 Fe 0.0000 0.0000 0.0000
Fe2 Fe 0.2257 0.0000 0.5986
Si1 Si 0.2286 0.5000 0.0772
Se1 Se 0.4895 0.0000 0.4705
```

**Formation energy without anion corrections**: 40 meV/atom

A plane-wave DFT calculation with GGA-PBE was carried out for an optimized crystal structure of HOs2Ru.

Cell and atoms, written as CIF:
```
data_HOs2Ru
_cell_length_a 5.8718
_cell_length_b 5.8718
_cell_length_c 5.8718
_cell_angle_alpha 90.00
_cell_angle_beta 90.00
_cell_angle_gamma 90.00
_space_group_name_H-M_alt 'F m -3 m'
_space_group_IT_number 225
_space_group_name_Hall '-F 4 2 3'
loop_
_atom_site_label
_atom_site_type_symbol
_atom_site_fract_x
_atom_site_fract_y
_atom_site_fract_z
H1 H 0.0000 0.0000 0.0000
Os1 Os 0.2500 0.2500 0.2500
Ru1 Ru 0.0000 0.0000 0.5000
```

**Total DFT energy (no corrections)**: -7.796 eV/atom

A plane-wave DFT calculation with GGA-PBE was carried out for an optimized crystal structure of AlB3Rh.

Cell and atoms, written as CIF:
```
data_AlB3Rh
_cell_length_a 4.0144
_cell_length_b 4.0144
_cell_length_c 4.0144
_cell_angle_alpha 90.00
_cell_angle_beta 90.00
_cell_angle_gamma 90.00
_space_group_name_H-M_alt 'P m -3 m'
_space_group_IT_number 221
_space_group_name_Hall '-P 4 2 3'
loop_
_atom_site_label
_atom_site_type_symbol
_atom_site_fract_x
_atom_site_fract_y
_atom_site_fract_z
Al1 Al 0.0000 0.0000 0.0000
B1 B 0.0000 0.0000 0.5000
Rh1 Rh 0.5000 0.5000 0.5000
```

**Calculated formation energy**: 1899.7 meV per atom

A plane-wave DFT calculation with GGA-PBE was carried out for an optimized crystal structure of Ta2ReIr.

Cell and atoms, written as CIF:
```
data_Ta2ReIr
_cell_length_a 3.2523
_cell_length_b 3.2523
_cell_length_c 6.2705
_cell_angle_alpha 90.00
_cell_angle_beta 90.00
_cell_angle_gamma 90.00
_space_group_name_H-M_alt 'P 4 m m'
_space_group_IT_number 99
_space_group_name_Hall 'P 4 -2'
loop_
_atom_site_label
_atom_site_type_symbol
_atom_site_fract_x
_atom_site_fract_y
_atom_site_fract_z
Ta1 Ta 0.0000 0.0000 0.0000
Ta2 Ta 0.5000 0.5000 0.2780
Re1 Re 0.5000 0.5000 0.7768
Ir1 Ir 0.0000 0.0000 0.5000
```

**Calculated formation energy**: -158.3 meV per atom

A plane-wave DFT calculation with GGA-PBE was carried out for an optimized crystal structure of Os2RhSe.

Cell and atoms, written as CIF:
```
data_Os2RhSe
_cell_length_a 2.7585
_cell_length_b 4.8059
_cell_length_c 9.3773
_cell_angle_alpha 90.00
_cell_angle_beta 90.00
_cell_angle_gamma 90.00
_space_group_name_H-M_alt 'C m m 2'
_space_group_IT_number 35
_space_group_name_Hall 'C 2 -2'
loop_
_atom_site_label
_atom_site_type_symbol
_atom_site_fract_x
_atom_site_fract_y
_atom_site_fract_z
Os1 Os 0.0000 0.0000 0.0000
Os2 Os 0.0000 0.5000 0.2360
Rh1 Rh 0.0000 0.5000 0.7510
Se1 Se 0.0000 0.0000 0.5059
```

**Formation energy without anion corrections**: 676 meV/atom

A plane-wave DFT calculation with GGA-PBE was carried out for an optimized crystal structure of Sm6AgHg3.

Cell and atoms, written as CIF:
```
data_Sm6AgHg3
_cell_length_a 9.2910
_cell_length_b 5.3761
_cell_length_c 11.8177
_cell_angle_alpha 90.00
_cell_angle_beta 108.45
_cell_angle_gamma 90.00
_space_group_name_H-M_alt 'P 1 21/m 1'
_space_group_IT_number 11
_space_group_name_Hall '-P 2yb'
loop_
_atom_site_label
_atom_site_type_symbol
_atom_site_fract_x
_atom_site_fract_y
_atom_site_fract_z
Sm1 Sm 0.0280 0.2500 0.4077
Sm2 Sm 0.1602 0.7500 0.1779
Sm3 Sm 0.2491 0.2500 0.0004
Sm4 Sm 0.3529 0.7500 0.8179
Sm5 Sm 0.3699 0.2500 0.3473
Sm6 Sm 0.4004 0.2500 0.6291
Ag1 Ag 0.4487 0.7500 0.0992
Hg1 Hg 0.0275 0.7500 0.8780
Hg2 Hg 0.1166 0.2500 0.7155
Hg3 Hg 0.2735 0.7500 0.4749
```

**Calculated formation energy**: -295.8 meV per atom

A plane-wave DFT calculation with GGA-PBE was carried out for an optimized crystal structure of MgTlCuS2.

Cell and atoms, written as CIF:
```
data_MgTlCuS2
_cell_length_a 7.0503
_cell_length_b 5.4730
_cell_length_c 6.5978
_cell_angle_alpha 90.00
_cell_angle_beta 106.28
_cell_angle_gamma 90.00
_space_group_name_H-M_alt 'P 1 2/c 1'
_space_group_IT_number 13
_space_group_name_Hall '-P 2yc'
loop_
_atom_site_label
_atom_site_type_symbol
_atom_site_fract_x
_atom_site_fract_y
_atom_site_fract_z
Mg1 Mg 0.0000 0.0049 0.2500
Tl1 Tl 0.5000 0.2979 0.7500
Cu1 Cu 0.0000 0.5000 0.0000
S1 S 0.2171 0.2132 0.0624
```

**Formation energy without anion corrections**: -686 meV/atom